Compound: FeRe3B
Source: Alexandria
Functional: PBE
Structure: relaxed

Structure (POSCAR):
```
FeRe3B
1.0
-1.265 1.717 -4.354
-4.832 -4.260 -0.275
-2.869 6.919 3.562
B Re Fe
4 12 4
Direct
0.011 0.285 0.558
0.511 0.715 0.942
0.989 0.715 0.442
0.489 0.285 0.058
0.042 0.987 0.324
0.005 0.209 0.047
0.702 0.604 0.683
0.798 0.604 0.183
0.505 0.791 0.453
0.995 0.791 0.953
0.202 0.396 0.817
0.542 0.013 0.176
0.958 0.013 0.676
0.298 0.396 0.317
0.458 0.987 0.824
0.495 0.209 0.547
0.810 0.373 0.375
0.310 0.627 0.125
0.190 0.627 0.625
0.690 0.373 0.875
```

Values from the calculation:
E_tot	-10.525	eV/atom
DFT formation energy	-0.14	eV/f.u.
crystal system	monoclinic
energy relative to the lowest polymorph listed for this composition	0.0	kJ/mol of atoms